Here is a relaxed structure of Sm3ThTc8 from the Alexandria database. Energies are from GGA-PBE.

Cell lengths 9.8650, 9.8650, 9.8650 Å; angles 31.43, 31.43, 31.43 degrees
With the nearest neighbours (Å) after each atom.
Element x y z (fractional)
1 Sm 0.0000 0.0000 0.0000  12 Tc 3.14-3.29, 4 Sm 3.30-3.49
2 Sm 0.1241 0.1241 0.1241  12 Tc 3.14-3.35, 3 Th 3.30, 1 Sm 3.49
3 Sm 0.6254 0.6254 0.6254  12 Tc 3.14-3.27, 3 Sm 3.30
4 Th 0.4995 0.4995 0.4995  12 Tc 3.14-3.33, 3 Sm 3.30
5 Tc 0.0598 0.5623 0.5623  6 Tc 2.66-2.82
6 Tc 0.0629 0.0629 0.5640  6 Tc 2.67-2.82
7 Tc 0.0629 0.5640 0.0629  6 Tc 2.67-2.82
8 Tc 0.3126 0.3126 0.3126  6 Tc 2.78-2.79
9 Tc 0.5623 0.0598 0.5623  6 Tc 2.66-2.82
10 Tc 0.5623 0.5623 0.0598  6 Tc 2.66-2.82
11 Tc 0.5640 0.0629 0.0629  6 Tc 2.67-2.82
12 Tc 0.8124 0.8124 0.8124  6 Tc 2.82, 3 Th 3.14, 3 Sm 3.14

Output
- ΔH_f (0 K): -0.028 eV per atom
- Magnetization: 0.000 μB per atom
- Theoretical density: 10.5 g cm⁻³